Record 1
VASP calculation (GGA-PBE) on SrZr2Sb2 after structural relaxation.

Structure (POSCAR):
```
SrZr2Sb2
1.0
8.315 0.000 0.000
0.000 8.315 0.000
0.000 0.000 3.803
Sr Zr Sb
2 4 4
direct
0.000 0.000 0.000
0.500 0.500 0.000
0.141 0.359 0.500
0.359 0.859 0.500
0.641 0.141 0.500
0.859 0.641 0.500
0.144 0.644 0.000
0.356 0.144 0.000
0.644 0.856 0.000
0.856 0.356 0.000
```

Output
* uncorrected formation energy: -0.53 eV per atom
* theoretical density: 6.487 Mg/m³
* excess energy over the best structure of this formula in the dataset: 130 meV per atom
* space-group type: P4/mbm (127)
* DFT total energy: -5.935 eV/atom



Record 2
VASP calculation (GGA-PBE) on Sr2Zr2Sb after structural relaxation.

Structure (POSCAR):
```
Sr2Zr2Sb
1.0
8.371 0.000 0.000
0.000 8.371 0.000
0.000 0.000 4.836
Sr Zr Sb
4 4 2
direct
0.161 0.339 0.000
0.339 0.839 0.000
0.661 0.161 0.000
0.839 0.661 0.000
0.125 0.625 0.500
0.375 0.125 0.500
0.625 0.875 0.500
0.875 0.375 0.500
0.000 0.000 0.000
0.500 0.500 0.000
```

Output
* uncorrected formation energy: 0.62 eV per atom
* theoretical density: 4.698 Mg/m³
* excess energy over the best structure of this formula in the dataset: 584 meV per atom
* space-group type: P4/mbm (127)
* DFT total energy: -4.299 eV/atom



Record 3
VASP calculation (GGA-PBE) on SrZrSb2 after structural relaxation.

Structure (POSCAR):
```
SrZrSb2
1.0
-4.103 4.103 3.796
4.103 -4.103 3.796
4.103 4.103 -3.796
Sr Zr Sb
2 2 4
direct
0.000 0.000 0.000
0.750 0.250 0.500
0.250 0.750 0.500
0.500 0.500 0.000
0.162 0.625 0.037
0.375 0.412 0.537
0.588 0.125 0.963
0.875 0.838 0.463
```

Output
* uncorrected formation energy: -0.47 eV per atom
* theoretical density: 5.488 Mg/m³
* excess energy over the best structure of this formula in the dataset: 341 meV per atom
* space-group type: I-42d (122)
* DFT total energy: -5.086 eV/atom



Record 4
VASP calculation (GGA-PBE) on SrZrSb2 after structural relaxation.

Structure (POSCAR):
```
SrZrSb2
1.0
3.312 0.000 0.000
0.000 3.312 0.000
0.000 0.000 10.773
Sr Zr Sb
1 1 2
direct
0.000 0.000 0.000
0.500 0.500 0.286
0.000 0.000 0.476
0.500 0.500 0.764
```

Output
* uncorrected formation energy: -0.04 eV per atom
* theoretical density: 5.936 Mg/m³
* excess energy over the best structure of this formula in the dataset: 766 meV per atom
* space-group type: P4mm (99)
* DFT total energy: -4.662 eV/atom



Record 5
VASP calculation (GGA-PBE) on SrZrSb2 after structural relaxation.

Structure (POSCAR):
```
SrZrSb2
1.0
4.402 0.000 0.000
0.000 4.402 0.000
0.000 0.000 6.136
Sr Zr Sb
1 1 2
direct
0.000 0.000 0.000
0.500 0.500 0.500
0.000 0.000 0.500
0.500 0.500 0.999
```

Output
* uncorrected formation energy: -0.59 eV per atom
* theoretical density: 5.897 Mg/m³
* excess energy over the best structure of this formula in the dataset: 222 meV per atom
* space-group type: P4mm (99)
* DFT total energy: -5.206 eV/atom



Record 6
VASP calculation (GGA-PBE) on SrZrSb4 after structural relaxation.

Structure (POSCAR):
```
SrZrSb4
1.0
0.000 4.450 4.450
4.450 0.000 4.450
4.450 4.450 0.000
Sr Zr Sb
1 1 4
direct
0.000 0.000 0.000
0.750 0.750 0.750
0.376 0.376 0.376
0.376 0.376 0.872
0.376 0.872 0.376
0.872 0.376 0.376
```

Output
* uncorrected formation energy: 0.08 eV per atom
* theoretical density: 6.274 Mg/m³
* space-group type: F-43m (216)
* DFT total energy: -4.375 eV/atom



Record 7
VASP calculation (GGA-PBE) on SrZrSb2 after structural relaxation.

Structure (POSCAR):
```
SrZrSb2
1.0
3.665 0.000 0.000
0.000 3.665 0.000
0.000 0.000 8.146
Sr Zr Sb
1 1 2
direct
0.000 0.000 0.000
0.000 0.000 0.500
0.500 0.500 0.288
0.500 0.500 0.712
```

Output
* uncorrected formation energy: -0.64 eV per atom
* theoretical density: 6.411 Mg/m³
* excess energy over the best structure of this formula in the dataset: 168 meV per atom
* space-group type: P4/mmm (123)
* DFT total energy: -5.259 eV/atom



Record 8
VASP calculation (GGA-PBE) on SrZrSb2 after structural relaxation.

Structure (POSCAR):
```
SrZrSb2
1.0
0.000 3.796 3.796
3.796 0.000 3.796
3.796 3.796 0.000
Sr Zr Sb
1 1 2
direct
0.000 0.000 0.000
0.500 0.500 0.500
0.250 0.250 0.250
0.750 0.750 0.750
```

Output
* uncorrected formation energy: -0.44 eV per atom
* theoretical density: 6.413 Mg/m³
* excess energy over the best structure of this formula in the dataset: 372 meV per atom
* space-group type: Fm-3m (225)
* DFT total energy: -5.056 eV/atom



Record 9
VASP calculation (GGA-PBE) on Sr2ZrSb after structural relaxation.

Structure (POSCAR):
```
Sr2ZrSb
1.0
1.825 1.053 11.386
-1.825 1.053 11.386
0.000 -2.107 11.386
Sr Zr Sb
2 1 1
direct
0.247 0.247 0.247
0.753 0.753 0.753
0.000 0.000 0.000
0.500 0.500 0.500
```

Output
* uncorrected formation energy: 0.10 eV per atom
* theoretical density: 4.910 Mg/m³
* space-group type: R-3m (166)
* DFT total energy: -3.904 eV/atom



Record 10
VASP calculation (GGA-PBE) on SrZr3Sb after structural relaxation.

Structure (POSCAR):
```
SrZr3Sb
1.0
5.158 0.000 0.000
0.000 5.158 0.000
0.000 0.000 5.158
Sr Zr Sb
1 3 1
direct
0.000 0.000 0.000
0.000 0.000 0.500
0.000 0.500 0.000
0.500 0.000 0.000
0.500 0.500 0.500
```

Output
* uncorrected formation energy: 1.64 eV per atom
* theoretical density: 5.844 Mg/m³
* excess energy over the best structure of this formula in the dataset: 1181 meV per atom
* space-group type: Pm-3m (221)
* DFT total energy: -4.649 eV/atom



Record 11
VASP calculation (GGA-PBE) on Sr2ZrSb after structural relaxation.

Structure (POSCAR):
```
Sr2ZrSb
1.0
4.769 0.000 0.000
0.000 2.299 6.558
0.000 -2.299 6.558
Sr Zr Sb
2 1 1
direct
0.000 0.000 0.000
0.500 0.301 0.301
0.500 0.591 0.591
0.000 0.713 0.713
```

Output
* uncorrected formation energy: -0.19 eV per atom
* theoretical density: 4.482 Mg/m³
* space-group type: Amm2 (38)
* DFT total energy: -4.198 eV/atom



Record 12
VASP calculation (GGA-PBE) on SrZrSb2 after structural relaxation.

Structure (POSCAR):
```
SrZrSb2
1.0
4.813 0.000 0.000
0.000 2.056 5.720
0.000 -2.056 5.720
Sr Zr Sb
1 1 2
direct
0.000 0.000 0.000
0.500 0.253 0.253
0.000 0.733 0.733
0.500 0.526 0.526
```

Output
* uncorrected formation energy: -0.50 eV per atom
* theoretical density: 6.194 Mg/m³
* excess energy over the best structure of this formula in the dataset: 313 meV per atom
* space-group type: Amm2 (38)
* DFT total energy: -5.114 eV/atom